Pr2IrO4 | OQMD | PBE | optimized geometry; SG = Fd-3m; crystal system = cubic; DFT total energy = -7.250 eV/atom
1.0
0.000 4.928 4.928
4.928 0.000 4.928
4.928 4.928 0.000
Pr Ir O
4 2 8
Cartesian
0.000 0.000 0.000
2.464 2.464 0.000
2.464 0.000 2.464
0.000 2.464 2.464
3.696 3.696 3.696
6.160 6.160 6.160
7.454 4.866 4.866
2.402 2.402 2.402
4.990 4.990 2.402
4.990 2.402 4.990
4.866 7.454 4.866
4.866 4.866 7.454
7.454 7.454 7.454
2.402 4.990 4.990

PrIrO3 | OQMD | PBE | optimized geometry; SG = P4mm; crystal system = tetragonal; DFT total energy = -7.326 eV/atom
1.0
3.942 0.000 0.000
0.000 3.942 0.000
0.000 0.000 4.191
Pr Ir O
1 1 3
Cartesian
0.000 0.000 0.000
1.971 1.971 2.294
0.000 1.971 2.658
1.971 0.000 2.658
1.971 1.971 0.220

PrIrS2O | OQMD | PBE | optimized geometry; SG = C2/m; crystal system = monoclinic; DFT total energy = -6.946 eV/atom
1.0
5.894 -1.881 0.000
5.894 1.881 0.000
-0.285 0.000 7.714
Pr Ir S O
2 2 4 2
Cartesian
2.643 0.000 2.231
8.859 0.000 5.483
0.000 0.000 0.000
5.751 0.000 3.857
0.324 0.000 5.342
4.104 0.000 7.591
7.398 0.000 0.124
11.178 0.000 2.372
3.728 0.000 4.348
7.775 0.000 3.366

IrPtO4 | OQMD | PBE | optimized geometry; SG = P2/m; crystal system = monoclinic; DFT total energy = -6.369 eV/atom
1.0
4.514 0.000 0.000
0.000 3.194 0.000
-0.029 0.000 4.531
Ir Pt O
1 1 4
Cartesian
0.000 0.000 0.000
2.243 1.597 2.266
0.849 1.597 0.851
1.356 0.000 3.143
3.129 0.000 1.388
3.637 1.597 3.680

Among the records above, which one has the highest DFT total energy?
IrPtO4

DFT total energy of number 4 (IrPtO4)?
-6.369 eV/atom